No. 1
A plane-wave DFT calculation with PBE-GGA was carried out for a geometry-optimized NdThTe2 structure.

Cell lengths 3.8635, 3.8635, 7.7042 Å; angles 90.00, 90.00, 90.00 degrees
Closest atoms and distances in Å follow each position.
Positions (direct):
Nd 0.0000 0.0000 0.0000  8 Te 3.36
Th 0.0000 0.0000 0.5000  8 Te 3.32
Te 0.5000 0.5000 0.2550  4 Th 3.32, 4 Nd 3.36
Te 0.5000 0.5000 0.7450  4 Th 3.32, 4 Nd 3.36

Values from the calculation:
* VASP energy: -23.36 eV per cell
* D(E_F): 0.64 states/eV per atom
* energy relative to the elements, uncorrected: -4.9 eV per formula unit
* size of the total moment: 0.000 μB per formula unit
* calculated volume: 115 Å³/f.u.

No. 2
A plane-wave DFT calculation with PBE-GGA was carried out for a geometry-optimized NdTh2Te4 structure.

Cell lengths 7.4003, 7.4003, 15.9450 Å; angles 90.00, 90.00, 146.64 degrees
Closest atoms and distances in Å follow each position.
Positions (direct):
Nd 0.1054 0.8946 0.7500  6 Te 3.18-3.20
Nd 0.8946 0.1054 0.2500  6 Te 3.18-3.20
Th 0.3512 0.6488 0.5618  6 Te 3.15-3.24
Th 0.3512 0.6488 0.9382  6 Te 3.15-3.24
Th 0.6488 0.3512 0.0618  6 Te 3.15-3.24
Th 0.6488 0.3512 0.4382  6 Te 3.15-3.24
Te 0.0000 0.0000 0.0000  4 Th 3.15
Te 0.0000 0.0000 0.5000  4 Th 3.15
Te 0.2945 0.7055 0.1312  3 Th 3.16-3.18, 2 Nd 3.18
Te 0.2945 0.7055 0.3688  3 Th 3.16-3.18, 2 Nd 3.18
Te 0.4371 0.5629 0.7500  2 Nd 3.20, 2 Th 3.24
Te 0.5629 0.4371 0.2500  2 Nd 3.20, 2 Th 3.24
Te 0.7055 0.2945 0.6312  3 Th 3.16-3.18, 2 Nd 3.18
Te 0.7055 0.2945 0.8688  3 Th 3.16-3.18, 2 Nd 3.18

Values from the calculation:
* VASP energy: -80.68 eV per cell
* D(E_F): 0.75 states/eV per atom
* energy relative to the elements, uncorrected: -8.2 eV per formula unit
* size of the total moment: 0.000 μB per formula unit
* calculated volume: 240 Å³/f.u.

No. 3
A plane-wave DFT calculation with PBE-GGA was carried out for a geometry-optimized NdTh2Te5 structure.

Cell lengths 8.8478, 13.9546, 4.3012 Å; angles 90.00, 90.00, 90.00 degrees
Closest atoms and distances in Å follow each position.
Positions (direct):
Nd 0.0000 0.0000 0.0000  6 Te 3.08-3.18
Nd 0.5000 0.5000 0.0000  6 Te 3.08-3.18
Th 0.0196 0.3214 0.5000  8 Te 3.19-3.37
Th 0.4804 0.8214 0.5000  8 Te 3.19-3.37
Th 0.5196 0.1786 0.5000  8 Te 3.19-3.37
Th 0.9804 0.6786 0.5000  8 Te 3.19-3.37
Te 0.0000 0.5000 0.0000  4 Th 3.30
Te 0.1733 0.1139 0.5000  2 Nd 3.08, 2 Th 3.19-3.20
Te 0.1875 0.8060 0.0000  1 Nd 3.18, 4 Th 3.34-3.37
Te 0.3125 0.3060 0.0000  1 Nd 3.18, 4 Th 3.34-3.37
Te 0.3267 0.6139 0.5000  2 Nd 3.08, 2 Th 3.19-3.20
Te 0.5000 0.0000 0.0000  4 Th 3.30
Te 0.6733 0.3861 0.5000  2 Nd 3.08, 2 Th 3.19-3.20
Te 0.6875 0.6940 0.0000  1 Nd 3.18, 4 Th 3.34-3.37
Te 0.8125 0.1940 0.0000  1 Nd 3.18, 4 Th 3.34-3.37
Te 0.8267 0.8861 0.5000  2 Nd 3.08, 2 Th 3.19-3.20

Values from the calculation:
* VASP energy: -89.69 eV per cell
* D(E_F): 0.27 states/eV per atom
* energy relative to the elements, uncorrected: -9.5 eV per formula unit
* size of the total moment: 0.000 μB per formula unit
* calculated volume: 266 Å³/f.u.

No. 4
A plane-wave DFT calculation with PBE-GGA was carried out for a geometry-optimized NdThTe4 structure.

Cell lengths 8.3942, 8.3942, 7.7372 Å; angles 112.42, 112.42, 104.43 degrees
Closest atoms and distances in Å follow each position.
Positions (direct):
Nd 0.0081 0.9919 0.7500  8 Te 3.18-3.34
Nd 0.9919 0.0081 0.2500  8 Te 3.18-3.34
Th 0.3689 0.6311 0.2500  8 Te 3.20-3.30
Th 0.6311 0.3689 0.7500  8 Te 3.20-3.30
Te 0.0418 0.6771 0.8932  2 Th 3.20-3.30, 2 Nd 3.27-3.34, 2 Te 3.48-3.53
Te 0.2407 0.3698 0.7456  2 Nd 3.18-3.31, 2 Th 3.21-3.27, 2 Te 3.48-3.53
Te 0.3229 0.9582 0.6068  2 Th 3.20-3.30, 2 Nd 3.27-3.34, 2 Te 3.48-3.53
Te 0.3698 0.2407 0.2456  2 Nd 3.18-3.31, 2 Th 3.21-3.27, 2 Te 3.48-3.53
Te 0.6302 0.7593 0.7544  2 Nd 3.18-3.31, 2 Th 3.21-3.27, 2 Te 3.48-3.53
Te 0.6771 0.0418 0.3932  2 Th 3.20-3.30, 2 Nd 3.27-3.34, 2 Te 3.48-3.53
Te 0.7593 0.6302 0.2544  2 Nd 3.18-3.31, 2 Th 3.21-3.27, 2 Te 3.48-3.53
Te 0.9582 0.3229 0.1068  2 Th 3.20-3.30, 2 Nd 3.27-3.34, 2 Te 3.48-3.53

Values from the calculation:
* VASP energy: -63.55 eV per cell
* D(E_F): 0.53 states/eV per atom
* energy relative to the elements, uncorrected: -7.0 eV per formula unit
* size of the total moment: 0.000 μB per formula unit
* calculated volume: 207 Å³/f.u.

No. 5
A plane-wave DFT calculation with PBE-GGA was carried out for a geometry-optimized Nd5Th2Te12 structure.

Cell lengths 9.7444, 9.7444, 10.2667 Å; angles 105.98, 105.98, 51.67 degrees
Closest atoms and distances in Å follow each position.
Positions (direct):
Nd 0.0000 0.0000 0.0000  6 Te 3.06-3.25
Nd 0.2906 0.2906 0.1306  7 Te 3.25-3.42
Nd 0.3161 0.3161 0.6738  7 Te 3.19-3.45
Nd 0.6839 0.6839 0.3262  7 Te 3.19-3.45
Nd 0.7094 0.7094 0.8694  7 Te 3.25-3.42
Th 0.2539 0.7461 0.5000  6 Te 3.06-3.14
Th 0.7461 0.2539 0.5000  6 Te 3.06-3.14
Te 0.0295 0.0295 0.3097  2 Th 3.06, 1 Nd 3.06
Te 0.0890 0.5426 0.3953  1 Th 3.08, 3 Nd 3.20-3.45
Te 0.1108 0.5995 0.9400  4 Nd 3.25-3.33
Te 0.4005 0.8892 0.0600  4 Nd 3.25-3.33
Te 0.4574 0.9110 0.6047  1 Th 3.08, 3 Nd 3.20-3.45
Te 0.4945 0.4945 0.2687  2 Th 3.14, 2 Nd 3.19-3.42
Te 0.5055 0.5055 0.7313  2 Th 3.14, 2 Nd 3.19-3.42
Te 0.5426 0.0890 0.3953  1 Th 3.08, 3 Nd 3.20-3.45
Te 0.5995 0.1108 0.9400  4 Nd 3.25-3.33
Te 0.8892 0.4005 0.0600  4 Nd 3.25-3.33
Te 0.9110 0.4574 0.6047  1 Th 3.08, 3 Nd 3.20-3.45
Te 0.9705 0.9705 0.6903  2 Th 3.06, 1 Nd 3.06

Values from the calculation:
* VASP energy: -99.38 eV per cell
* D(E_F): 0.72 states/eV per atom
* energy relative to the elements, uncorrected: -23.0 eV per formula unit
* size of the total moment: 0.000 μB per formula unit
* calculated volume: 728 Å³/f.u.

No. 6
A plane-wave DFT calculation with PBE-GGA was carried out for a geometry-optimized NdTh2Te5 structure.

Cell lengths 9.3809, 9.3809, 9.3809 Å; angles 127.12, 127.12, 78.05 degrees
Closest atoms and distances in Å follow each position.
Positions (direct):
Nd 0.2500 0.2500 0.0000  10 Te 3.47-3.64
Nd 0.7500 0.7500 0.0000  10 Te 3.47-3.64
Th 0.1476 0.6476 0.7953  8 Te 3.15-3.35, 1 Th 3.49
Th 0.3524 0.1476 0.5000  8 Te 3.15-3.35, 1 Th 3.49
Th 0.6476 0.8524 0.5000  8 Te 3.15-3.35, 1 Th 3.49
Th 0.8524 0.3524 0.2047  8 Te 3.15-3.35, 1 Th 3.49
Te 0.0000 0.0000 0.0000  4 Th 3.19
Te 0.0103 0.1927 0.5000  3 Th 3.15-3.35, 2 Nd 3.47
Te 0.1927 0.6927 0.1824  3 Th 3.15-3.35, 2 Nd 3.47
Te 0.3073 0.4897 0.5000  3 Th 3.15-3.35, 2 Nd 3.47
Te 0.4897 0.9897 0.1824  3 Th 3.15-3.35, 2 Nd 3.47
Te 0.5000 0.5000 0.0000  4 Th 3.19
Te 0.5103 0.0103 0.8176  3 Th 3.15-3.35, 2 Nd 3.47
Te 0.6927 0.5103 0.5000  3 Th 3.15-3.35, 2 Nd 3.47
Te 0.8073 0.3073 0.8176  3 Th 3.15-3.35, 2 Nd 3.47
Te 0.9897 0.8073 0.5000  3 Th 3.15-3.35, 2 Nd 3.47

Values from the calculation:
* VASP energy: -90.16 eV per cell
* D(E_F): 0.19 states/eV per atom
* energy relative to the elements, uncorrected: -9.8 eV per formula unit
* size of the total moment: 0.832 μB per formula unit
* calculated volume: 254 Å³/f.u.